1.
Density functional theory data (GGA-PBEsol) for an optimized crystal structure of BeTc2Au.

Output
- ΔE_f: 0.2057 eV/atom
- Calculated volume: 54 Å³/cell

a b c (Å): 3.8237 3.8237 4.5810
angles (deg): 114.67 114.67 90.00
With the nearest neighbours (Å) after each atom.
Fractional coordinates of all 4 atoms:
Be (0.2500, 0.7500, 0.5000)  4 Au 2.66, 8 Tc 2.66-2.70
Au (0.5000, 0.5000, 0.0000)  8 Tc 2.66-2.70, 4 Be 2.66
Tc (0.0000, 0.0000, 0.0000)  4 Be 2.66, 4 Tc 2.66, 4 Au 2.70
Tc (0.7500, 0.2500, 0.5000)  4 Tc 2.66, 4 Au 2.66, 4 Be 2.70


2.
Density functional theory data (GGA-PBEsol) for an optimized crystal structure of BeTc2Au.

Output
- ΔE_f: 0.2453 eV/atom
- Calculated volume: 54 Å³/cell

a b c (Å): 3.6001 3.6001 4.8892
angles (deg): 111.60 111.60 90.00
With the nearest neighbours (Å) after each atom.
Fractional coordinates of all 4 atoms:
Au (0.5000, 0.5000, 0.0000)  4 Be 2.55, 8 Tc 2.76
Tc (0.7500, 0.2500, 0.5000)  4 Tc 2.55, 4 Au 2.76, 4 Be 2.76
Tc (0.2500, 0.7500, 0.5000)  4 Tc 2.55, 4 Be 2.76, 4 Au 2.76
Be (0.0000, 0.0000, 0.0000)  4 Au 2.55, 8 Tc 2.76


3.
Density functional theory data (GGA-PBEsol) for an optimized crystal structure of BeTcAu3.

Output
- ΔE_f: 1.7224 eV/atom
- Calculated volume: 119 Å³/cell

a b c (Å): 4.9120 4.9120 4.9120
angles (deg): 90.00 90.00 90.00
With the nearest neighbours (Å) after each atom.
Fractional coordinates of all 5 atoms:
Tc (0.0000, 0.0000, 0.0000)  6 Au 2.46
Au (0.0000, 0.0000, 0.5000)  2 Tc 2.46
Au (0.0000, 0.5000, 0.0000)  2 Tc 2.46
Au (0.5000, 0.0000, 0.0000)  2 Tc 2.46
Be (0.5000, 0.5000, 0.5000)  12 Au 3.47


How do the records compare in M_tot? In the order shown, they have 0.0, 0.0, 1.7 μB per cell.